# AsRh2N

A relaxed structure of AsRh2N (GGA-PBEsol, the Alexandria database).

abc: 4.087 4.087 4.087
angles: 60.00 60.00 60.00
Element x y z (fractional)
As: 0.000 0.000 0.000
Rh: 0.250 0.250 0.250
Rh: 0.750 0.750 0.750
N: 0.500 0.500 0.500

## Properties
DFT total energy	-6.919	eV per atom
formation energy from raw total energies	0.56	eV/atom


# LuB4

A relaxed structure of LuB4 (GGA-PBEsol, the Alexandria database).

abc: 6.984 6.984 3.936
angles: 90.00 90.00 90.00
Element x y z (fractional)
Lu: 0.182 0.318 0.000
Lu: 0.318 0.818 0.000
Lu: 0.682 0.182 0.000
Lu: 0.818 0.682 0.000
B: 0.000 0.000 0.202
B: 0.000 0.000 0.798
B: 0.039 0.823 0.500
B: 0.086 0.586 0.500
B: 0.177 0.039 0.500
B: 0.323 0.539 0.500
B: 0.414 0.086 0.500
B: 0.461 0.323 0.500
B: 0.500 0.500 0.202
B: 0.500 0.500 0.798
B: 0.539 0.677 0.500
B: 0.586 0.914 0.500
B: 0.677 0.461 0.500
B: 0.823 0.961 0.500
B: 0.914 0.414 0.500
B: 0.961 0.177 0.500

## Properties
formation energy	-0.5965	eV per atom
DFT total energy	-7.184	eV per atom